A relaxed structure of CuI2Br2. Source: Alexandria, functional GGA-PBEsol.

Cell and atoms, written as extended XYZ:
```
5
Lattice="-1.889 1.889 11.054 1.889 -1.889 11.054 1.889 1.889 -11.054" Properties=species:S:1:pos:R:3 pbc="T T T"
Cu 0.000 0.000 0.000
I 0.000 0.000 9.343
I 0.000 0.000 12.764
Br 1.889 0.000 5.527
Br 0.000 1.889 5.527
```

space-group type	No. 139
formation energy without anion corrections	0.414	eV per atom
final energy	-0.070	hartree per atom
M_tot	0.00	μB per formula unit

A relaxed structure of InCuBr2. Source: Alexandria, functional GGA-PBEsol.

Cell and atoms, written as extended XYZ:
```
4
Lattice="0.000 3.584 3.584 3.584 0.000 3.584 3.584 3.584 0.000" Properties=species:S:1:pos:R:3 pbc="T T T"
In 0.000 0.000 0.000
Cu 1.792 1.792 1.792
Br 3.584 3.584 3.584
Br 5.375 5.375 5.375
```

space-group type	No. 216
formation energy without anion corrections	0.215	eV per atom
final energy	-0.094	hartree per atom
M_tot	0.00	μB per formula unit
offset from the most stable computed form	0.499	eV per atom

A relaxed structure of InCuBr2. Source: Alexandria, functional GGA-PBEsol.

Cell and atoms, written as extended XYZ:
```
4
Lattice="-1.816 2.988 4.541 1.816 -2.988 4.541 1.816 2.988 -4.541" Properties=species:S:1:pos:R:3 pbc="T T T"
In 0.000 0.000 0.000
Cu 0.000 0.000 4.541
Br 1.816 0.000 2.862
Br 0.000 2.988 1.678
```

space-group type	No. 71
formation energy without anion corrections	-0.284	eV per atom
final energy	-0.112	hartree per atom
M_tot	0.00	μB per formula unit
offset from the most stable computed form	0.000	eV per atom

A relaxed structure of In2CuBr. Source: Alexandria, functional GGA-PBEsol.

Cell and atoms, written as extended XYZ:
```
4
Lattice="3.540 0.000 0.000 0.000 3.799 0.000 0.000 0.000 7.542" Properties=species:S:1:pos:R:3 pbc="T T T"
In 0.000 0.000 0.000
In 1.770 1.900 2.905
Cu 1.770 1.900 0.331
Br 0.000 0.000 4.575
```

space-group type	No. 25
formation energy without anion corrections	-0.050	eV per atom
final energy	-0.114	hartree per atom
M_tot	0.00	μB per formula unit

A relaxed structure of RbIn2CuBr. Source: Alexandria, functional GGA-PBEsol.

Cell and atoms, written as extended XYZ:
```
5
Lattice="6.137 0.000 0.000 0.000 6.137 0.000 0.000 0.000 4.714" Properties=species:S:1:pos:R:3 pbc="T T T"
Rb 0.000 0.000 0.000
In 0.000 3.068 2.357
In 3.068 0.000 2.357
Cu 3.068 3.068 0.000
Br 3.068 3.068 2.357
```

space-group type	No. 123
formation energy without anion corrections	0.352	eV per atom
final energy	-0.084	hartree per atom
M_tot	0.00	μB per formula unit

A relaxed structure of Rb2InCuBr6. Source: Alexandria, functional GGA-PBEsol.

Cell and atoms, written as extended XYZ:
```
10
Lattice="0.000 5.291 5.291 5.291 0.000 5.291 5.291 5.291 0.000" Properties=species:S:1:pos:R:3 pbc="T T T"
Rb 2.646 2.646 2.646
Rb 7.937 7.937 7.937
In 0.000 0.000 0.000
Cu 5.291 5.291 5.291
Br 5.291 5.291 2.713
Br 5.291 2.713 5.291
Br 7.870 5.291 5.291
Br 2.713 5.291 5.291
Br 5.291 7.870 5.291
Br 5.291 5.291 7.870
```

space-group type	No. 225
formation energy without anion corrections	-1.065	eV per atom
final energy	-0.115	hartree per atom
M_tot	0.00	μB per formula unit